# TiAsPdSe2 | the Alexandria database | SCAN | PBEsol geometry
data_TiAsPdSe2
_symmetry_space_group_name_H-M 'P 4/m m m'
_symmetry_Int_Tables_number 123
_symmetry_space_group_name_Hall '-P 4 2'
_cell_length_a 4.775
_cell_length_b 4.775
_cell_length_c 4.810
_cell_angle_alpha 90.00
_cell_angle_beta 90.00
_cell_angle_gamma 90.00
loop_
_atom_site_label
_atom_site_type_symbol
_atom_site_fract_x
_atom_site_fract_y
_atom_site_fract_z
Ti1 Ti 0.000 0.000 0.000
As1 As 0.000 0.000 0.500
Pd1 Pd 0.500 0.500 0.500
Se1 Se 0.000 0.500 0.000
# - Energy relative to the elements, uncorrected: 108 meV/atom
# - N(E_F): 0.801 states/eV per atom
# - Total energy: -108.6 eV per cell